[1]
Computed, not measured: a PBEsol-optimized structure of ScMoAu2 at the meta-GGA SCAN level of DFT.

Excess energy over the best structure of this formula in the dataset in eV per atom: 0.071
Calculated volume in Å³/atom: 17.49
Energy of formation in eV per atom: -0.23
Raw total energy in eV per cell: -188.357
Space group: Fm-3m, No. 225

Cell: 4.6248 4.6248 4.6248 Å, 60.00 60.00 60.00°
Fractional positions:
Sc  0.0000  0.0000  0.0000
Mo  0.5000  0.5000  0.5000
Au  0.2500  0.2500  0.2500
Au  0.7500  0.7500  0.7500

=====

[2]
Computed, not measured: a PBEsol-optimized structure of KBa2Cr at the meta-GGA SCAN level of DFT.

Excess energy over the best structure of this formula in the dataset in eV per atom: 0.000
Calculated volume in Å³/atom: 47.29
Energy of formation in eV per atom: 0.29
Raw total energy in eV per cell: -104.672
Space group: P4/mmm, No. 123

Cell: 4.1124 4.1124 11.1856 Å, 90.00 90.00 90.00°
Fractional positions:
K  0.0000  0.0000  0.0000
Ba  0.5000  0.5000  0.3234
Ba  0.5000  0.5000  0.6766
Cr  0.0000  0.0000  0.5000